(1)
First-principles (PBE) data for crystalline YAgPd3 at its relaxed geometry, as listed in Alexandria via LeMat-Bulk.

It has space group Cmcm (No. 63), with a = 6.5931 Å, b = 11.4060 Å, c = 5.3416 Å, α = 90.00°, β = 90.00° and γ = 90.00°. Symmetry generates all atoms from Y at (0.0000, 0.1665, 0.2500), Ag at (0.0000, 0.5000, 0.0000), Pd at (0.0000, 0.2992, 0.7500) and Pd at (0.1988, 0.1002, 0.7500).

The raw total energy is -26.50 eV per formula unit. The distance to the lowest polymorph of the same formula is 155 meV/atom. As for the size of the total moment: 0.00 μB per atom. Its formation energy from the elements is -0.322 eV per atom.

(2)
First-principles (PBE) data for crystalline YAgPd3 at its relaxed geometry, as listed in Alexandria via LeMat-Bulk.

It has space group Pmmn (No. 59, origin choice 2), with a = 4.5313 Å, b = 5.8904 Å, c = 7.2240 Å, α = 90.00°, β = 90.00° and γ = 90.00°. Symmetry generates all atoms from Y at (0.2500, 0.2500, 0.1743), Ag at (0.2500, 0.7500, 0.4490), Pd at (0.2500, 0.0255, 0.7539) and Pd at (0.2500, 0.7500, 0.0767).

The raw total energy is -27.28 eV per formula unit. The distance to the lowest polymorph of the same formula is 0 meV/atom. As for the size of the total moment: 0.00 μB per atom. Its formation energy from the elements is -0.476 eV per atom.

(3)
First-principles (PBE) data for crystalline YAg2Pd at its relaxed geometry, as listed in Alexandria via LeMat-Bulk.

It has space group R-3m (No. 166, hexagonal axes), with a = 3.0537 Å, b = 3.0537 Å, c = 30.8687 Å, α = 90.00°, β = 90.00° and γ = 120.00°. Symmetry generates all atoms from Y at (0.0000, 0.0000, 0.0000), Ag at (0.0000, 0.0000, 0.0947) and Pd at (0.0000, 0.0000, 0.5000).

The raw total energy is -16.36 eV per formula unit. The distance to the lowest polymorph of the same formula is 719 meV/atom. As for the size of the total moment: 0.00 μB per atom. Its formation energy from the elements is 0.251 eV per atom.

(4)
First-principles (PBE) data for crystalline YAg2Pd5 at its relaxed geometry, as listed in Alexandria via LeMat-Bulk.

It has space group I4/mmm (No. 139), with a = 4.1282 Å, b = 4.1282 Å, c = 16.1107 Å, α = 90.00°, β = 90.00° and γ = 90.00°. Symmetry generates all atoms from Y at (0.0000, 0.0000, 0.0000), Ag at (0.0000, 0.0000, 0.2507), Pd at (0.0000, 0.0000, 0.5000) and Pd at (0.0000, 0.5000, 0.1268).

The raw total energy is -41.62 eV per formula unit. The distance to the lowest polymorph of the same formula is 0 meV/atom. As for the size of the total moment: 0.00 μB per atom. Its formation energy from the elements is -0.436 eV per atom.

(5)
First-principles (PBE) data for crystalline Y3Ag2Pd3 at its relaxed geometry, as listed in Alexandria via LeMat-Bulk.

It has space group P6_3/mcm (No. 193), with a = 8.4711 Å, b = 8.4711 Å, c = 5.6478 Å, α = 90.00°, β = 90.00° and γ = 120.00°. Symmetry generates all atoms from Y at (0.0000, 0.2816, 0.2500), Ag at (0.3333, 0.6667, 0.0000) and Pd at (0.0000, 0.3797, 0.7500).

The raw total energy is -45.52 eV per formula unit. As for the size of the total moment: 0.00 μB per atom. Its formation energy from the elements is -0.606 eV per atom.

(6)
First-principles (PBE) data for crystalline Y2Ag2Pd3 at its relaxed geometry, as listed in Alexandria via LeMat-Bulk.

It has space group C2/m (No. 12), with a = 9.5608 Å, b = 4.1955 Å, c = 6.8380 Å, α = 90.00°, β = 96.92° and γ = 90.00°. Symmetry generates all atoms from Y at (0.0801, 0.0000, 0.2510), Ag at (0.1425, 0.5000, 0.9240), Pd at (0.0000, 0.5000, 0.5000) and Pd at (0.2131, 0.0000, 0.6459).

The raw total energy is -38.51 eV per formula unit. The distance to the lowest polymorph of the same formula is 0 meV/atom. As for the size of the total moment: 0.00 μB per atom. Its formation energy from the elements is -0.614 eV per atom.

(7)
First-principles (PBE) data for crystalline Y2Ag2Pd at its relaxed geometry, as listed in Alexandria via LeMat-Bulk.

It has space group P4/mbm (No. 127), with a = 7.5437 Å, b = 7.5437 Å, c = 4.0144 Å, α = 90.00°, β = 90.00° and γ = 90.00°. Symmetry generates all atoms from Y at (0.1761, 0.3239, 0.0000), Ag at (0.1287, 0.6287, 0.5000) and Pd at (0.0000, 0.0000, 0.5000).

The raw total energy is -25.58 eV per formula unit. The distance to the lowest polymorph of the same formula is 75 meV/atom. As for the size of the total moment: 0.00 μB per atom. Its formation energy from the elements is -0.352 eV per atom.

(8)
First-principles (PBE) data for crystalline Y4Ag3Pd at its relaxed geometry, as listed in Alexandria via LeMat-Bulk.

It has space group P4/mmm (No. 123), with a = 3.6031 Å, b = 3.6031 Å, c = 14.5317 Å, α = 90.00°, β = 90.00° and γ = 90.00°. Symmetry generates all atoms from Y at (0.0000, 0.0000, 0.1171), Y at (0.0000, 0.0000, 0.3724), Ag at (0.5000, 0.5000, 0.2462), Ag at (0.5000, 0.5000, 0.5000) and Pd at (0.5000, 0.5000, 0.0000).

The raw total energy is -43.39 eV per formula unit. As for the size of the total moment: 0.00 μB per atom. Its formation energy from the elements is -0.473 eV per atom.

(9)
First-principles (PBE) data for crystalline Y2AgPd5 at its relaxed geometry, as listed in Alexandria via LeMat-Bulk.

It has space group I4/mmm (No. 139), with a = 5.0198 Å, b = 5.0198 Å, c = 11.8369 Å, α = 90.00°, β = 90.00° and γ = 90.00°. Symmetry generates all atoms from Y at (0.0000, 0.0000, 0.2441), Ag at (0.0000, 0.0000, 0.5000), Pd at (0.0000, 0.0000, 0.0000) and Pd at (0.0000, 0.5000, 0.1200).

The raw total energy is -46.49 eV per formula unit. The distance to the lowest polymorph of the same formula is 198 meV/atom. As for the size of the total moment: 0.00 μB per atom. Its formation energy from the elements is -0.593 eV per atom.

(10)
First-principles (PBE) data for crystalline Y2Ag3Pd2 at its relaxed geometry, as listed in Alexandria via LeMat-Bulk.

It has space group C2/m (No. 12), with a = 9.9531 Å, b = 4.1337 Å, c = 7.0883 Å, α = 90.00°, β = 95.31° and γ = 90.00°. Symmetry generates all atoms from Y at (0.1161, 0.0000, 0.3301), Ag at (0.0000, 0.5000, 0.0000), Ag at (0.1938, 0.0000, 0.8822) and Pd at (0.0978, 0.5000, 0.6421).

The raw total energy is -35.46 eV per formula unit. As for the size of the total moment: 0.00 μB per atom. Its formation energy from the elements is -0.512 eV per atom.

(11)
First-principles (PBE) data for crystalline Y2Ag3Pd at its relaxed geometry, as listed in Alexandria via LeMat-Bulk.

It has space group Pmm2 (No. 25), with a = 3.4596 Å, b = 4.7574 Å, c = 8.0539 Å, α = 90.00°, β = 90.00° and γ = 90.00°. Symmetry generates all atoms from Y at (0.0000, 0.0000, 0.0000), Y at (0.0000, 0.5000, 0.4570), Ag at (0.5000, 0.0000, 0.6440), Ag at (0.5000, 0.5000, 0.1399), Ag at (0.5000, 0.5000, 0.8034) and Pd at (0.5000, 0.0000, 0.3065).

The raw total energy is -29.01 eV per formula unit. As for the size of the total moment: 0.00 μB per atom. Its formation energy from the elements is -0.389 eV per atom.

(12)
First-principles (PBE) data for crystalline Y2AgPd6 at its relaxed geometry, as listed in Alexandria via LeMat-Bulk.

It has space group Immm (No. 71), with a = 3.4324 Å, b = 8.3357 Å, c = 12.8719 Å, α = 90.00°, β = 90.00° and γ = 90.00°. Symmetry generates all atoms from Y at (0.0000, 0.0000, 0.1573), Ag at (0.0000, 0.0000, 0.5000), Pd at (0.0000, 0.2265, 0.3344) and Pd at (0.0000, 0.2397, 0.0000).

The raw total energy is -50.18 eV per formula unit. As for the size of the total moment: 0.00 μB per atom. Its formation energy from the elements is -0.360 eV per atom.